KBe4Bi3O12 | PBE | optimized geometry

Geometry as POSCAR:
```
KBe4Bi3O12
1.0
-4.7029 -4.4735 -1.4459
2.3500 -1.9524 5.9064
-3.3927 5.5579 1.3487
O Bi Be K
12 3 4 1
Direct
0.3515 0.6485 0.5000
0.6485 0.5000 0.3515
0.9905 0.2251 0.3821
0.9042 0.5000 0.0958
0.0095 0.6179 0.7749
0.0958 0.9042 0.5000
0.5000 0.0958 0.9042
0.2251 0.3821 0.9905
0.7749 0.0095 0.6179
0.3821 0.9905 0.2251
0.6179 0.7749 0.0095
0.5000 0.3515 0.6485
0.0000 0.5467 0.4533
0.4533 0.0000 0.5467
0.5467 0.4533 0.0000
0.0574 0.5000 0.9426
0.9426 0.0574 0.5000
0.5000 0.5000 0.5000
0.5000 0.9426 0.0574
0.0000 0.0000 0.0000
```

Summary:
ΔE_f (raw) = -1533 meV/atom
Calculated volume = 261 Å³ per cell